Model P:
Here is a relaxed structure of ZrBAs from the Open Quantum Materials Database. Energies are from PBE-GGA.

Geometry as CIF:
```
data_ZrBAs
_chemical_formula_sum 'Zr4 B4 As4'
_cell_length_a 6.094
_cell_length_b 6.094
_cell_length_c 6.094
_cell_angle_alpha 90.00
_cell_angle_beta 90.00
_cell_angle_gamma 90.00
_space_group_name_H-M_alt 'F -4 3 m'
_space_group_IT_number 216
_space_group_name_Hall 'F -4 2 3'
loop_
_atom_site_label
_atom_site_type_symbol
_atom_site_fract_x
_atom_site_fract_y
_atom_site_fract_z
Zr1 Zr 0.000 0.000 0.000
B1 B 0.250 0.250 0.250
As1 As 0.250 0.250 0.750
```

- size of the total moment (μB per formula unit) = 0.00
- crystal system = cubic


Model Q:
Here is a relaxed structure of ZrBAs from the Open Quantum Materials Database. Energies are from PBE-GGA.

Geometry as CIF:
```
data_ZrBAs
_chemical_formula_sum 'Zr4 B4 As4'
_cell_length_a 5.815
_cell_length_b 5.815
_cell_length_c 5.815
_cell_angle_alpha 90.00
_cell_angle_beta 90.00
_cell_angle_gamma 90.00
_space_group_name_H-M_alt 'F -4 3 m'
_space_group_IT_number 216
_space_group_name_Hall 'F -4 2 3'
loop_
_atom_site_label
_atom_site_type_symbol
_atom_site_fract_x
_atom_site_fract_y
_atom_site_fract_z
Zr1 Zr 0.000 0.000 0.000
B1 B 0.250 0.250 0.750
As1 As 0.000 0.000 0.500
```

- size of the total moment (μB per formula unit) = 0.00
- crystal system = cubic


Most stable structure: model Q


Model P:
Here is a relaxed structure of Ba2CdBiAs from the Open Quantum Materials Database. Energies are from PBE-GGA.

Geometry as CIF:
```
data_Ba2CdBiAs
_chemical_formula_sum 'Ba8 Cd4 Bi4 As4'
_cell_length_a 4.818
_cell_length_b 17.887
_cell_length_c 8.580
_cell_angle_alpha 90.00
_cell_angle_beta 90.00
_cell_angle_gamma 90.00
_space_group_name_H-M_alt 'C m c 21'
_space_group_IT_number 36
loop_
_space_group_symop_operation_xyz
'x,y,z'
'-x,-y,z+1/2'
'-x,y,z'
'x,-y,z+1/2'
'x+1/2,y+1/2,z'
'-x+1/2,-y+1/2,z+1/2'
'-x+1/2,y+1/2,z'
'x+1/2,-y+1/2,z+1/2'
loop_
_atom_site_label
_atom_site_type_symbol
_atom_site_fract_x
_atom_site_fract_y
_atom_site_fract_z
Ba1 Ba 0.000 0.038 0.000
Ba2 Ba 0.000 0.218 0.628
Cd1 Cd 0.000 0.405 0.838
Bi1 Bi 0.000 0.429 0.202
As1 As 0.000 0.169 0.259
```

- crystal system = orthorhombic


Model Q:
Here is a relaxed structure of Ba2CdBiAs from the Open Quantum Materials Database. Energies are from PBE-GGA.

Geometry as CIF:
```
data_Ba2CdBiAs
_chemical_formula_sum 'Ba8 Cd4 Bi4 As4'
_cell_length_a 4.842
_cell_length_b 18.925
_cell_length_c 8.027
_cell_angle_alpha 90.00
_cell_angle_beta 90.00
_cell_angle_gamma 90.00
_space_group_name_H-M_alt 'C m c 21'
_space_group_IT_number 36
loop_
_space_group_symop_operation_xyz
'x,y,z'
'-x,-y,z+1/2'
'-x,y,z'
'x,-y,z+1/2'
'x+1/2,y+1/2,z'
'-x+1/2,-y+1/2,z+1/2'
'-x+1/2,y+1/2,z'
'x+1/2,-y+1/2,z+1/2'
loop_
_atom_site_label
_atom_site_type_symbol
_atom_site_fract_x
_atom_site_fract_y
_atom_site_fract_z
Ba1 Ba 0.000 0.027 0.000
Ba2 Ba 0.000 0.192 0.693
Cd1 Cd 0.000 0.407 0.852
Bi1 Bi 0.000 0.174 0.252
As1 As 0.000 0.442 0.205
```

- crystal system = orthorhombic


Most stable structure: model P


Model P:
Here is a relaxed structure of BaCdAsO from the Open Quantum Materials Database. Energies are from PBE-GGA.

Geometry as CIF:
```
data_BaCdAsO
_chemical_formula_sum 'Ba2 Cd2 As2 O2'
_cell_length_a 3.672
_cell_length_b 6.840
_cell_length_c 7.981
_cell_angle_alpha 90.00
_cell_angle_beta 90.00
_cell_angle_gamma 90.00
_space_group_name_H-M_alt 'P m c 21'
_space_group_IT_number 26
loop_
_space_group_symop_operation_xyz
'x,y,z'
'-x,-y,z+1/2'
'-x,y,z'
'x,-y,z+1/2'
loop_
_atom_site_label
_atom_site_type_symbol
_atom_site_fract_x
_atom_site_fract_y
_atom_site_fract_z
Ba1 Ba 0.000 0.139 0.000
Cd1 Cd 0.500 0.334 0.368
As1 As 0.500 0.337 0.697
O1 O 0.000 0.152 0.313
```

- crystal system = orthorhombic


Model Q:
Here is a relaxed structure of BaCdAsO from the Open Quantum Materials Database. Energies are from PBE-GGA.

Geometry as CIF:
```
data_BaCdAsO
_chemical_formula_sum 'Ba2 Cd2 As2 O2'
_cell_length_a 4.171
_cell_length_b 7.582
_cell_length_c 6.080
_cell_angle_alpha 90.00
_cell_angle_beta 90.00
_cell_angle_gamma 90.00
_space_group_name_H-M_alt 'P m c 21'
_space_group_IT_number 26
loop_
_space_group_symop_operation_xyz
'x,y,z'
'-x,-y,z+1/2'
'-x,y,z'
'x,-y,z+1/2'
loop_
_atom_site_label
_atom_site_type_symbol
_atom_site_fract_x
_atom_site_fract_y
_atom_site_fract_z
Ba1 Ba 0.000 0.140 0.000
Cd1 Cd 0.500 0.235 0.497
As1 As 0.000 0.444 0.469
O1 O 0.500 0.011 0.754
```

- crystal system = orthorhombic


Most stable structure: model Q


Model P:
Here is a relaxed structure of BaCdAsO from the Open Quantum Materials Database. Energies are from PBE-GGA.

Geometry as CIF:
```
data_BaCdAsO
_chemical_formula_sum 'Ba2 Cd2 As2 O2'
_cell_length_a 4.811
_cell_length_b 4.811
_cell_length_c 9.911
_cell_angle_alpha 90.00
_cell_angle_beta 90.00
_cell_angle_gamma 90.00
_space_group_name_H-M_alt 'P 4/n m m'
_space_group_IT_number 129
loop_
_space_group_symop_operation_xyz
'x,y,z'
'-x,-y,-z'
'-y+1/2,x,z'
'y+1/2,-x,-z'
'-x+1/2,-y+1/2,z'
'x+1/2,y+1/2,-z'
'y,-x+1/2,z'
'-y,x+1/2,-z'
'x+1/2,-y,-z'
'-x+1/2,y,z'
'-y,-x,-z'
'y,x,z'
'-x,y+1/2,-z'
'x,-y+1/2,z'
'y+1/2,x+1/2,-z'
'-y+1/2,-x+1/2,z'
loop_
_atom_site_label
_atom_site_type_symbol
_atom_site_fract_x
_atom_site_fract_y
_atom_site_fract_z
Ba1 Ba 0.250 0.750 0.000
Cd1 Cd 0.250 0.250 0.480
As1 As 0.250 0.250 0.201
O1 O 0.250 0.750 0.500
```

- crystal system = tetragonal


Model Q:
Here is a relaxed structure of BaCdAsO from the Open Quantum Materials Database. Energies are from PBE-GGA.

Geometry as CIF:
```
data_BaCdAsO
_chemical_formula_sum 'Ba2 Cd2 As2 O2'
_cell_length_a 4.480
_cell_length_b 4.480
_cell_length_c 9.959
_cell_angle_alpha 90.00
_cell_angle_beta 90.00
_cell_angle_gamma 90.00
_space_group_name_H-M_alt 'P 4/n m m'
_space_group_IT_number 129
loop_
_space_group_symop_operation_xyz
'x,y,z'
'-x,-y,-z'
'-y+1/2,x,z'
'y+1/2,-x,-z'
'-x+1/2,-y+1/2,z'
'x+1/2,y+1/2,-z'
'y,-x+1/2,z'
'-y,x+1/2,-z'
'x+1/2,-y,-z'
'-x+1/2,y,z'
'-y,-x,-z'
'y,x,z'
'-x,y+1/2,-z'
'x,-y+1/2,z'
'y+1/2,x+1/2,-z'
'-y+1/2,-x+1/2,z'
loop_
_atom_site_label
_atom_site_type_symbol
_atom_site_fract_x
_atom_site_fract_y
_atom_site_fract_z
Ba1 Ba 0.250 0.250 0.124
Cd1 Cd 0.250 0.750 0.500
As1 As 0.250 0.250 0.664
O1 O 0.250 0.750 0.000
```

- crystal system = tetragonal


Most stable structure: model Q


Model P:
Here is a relaxed structure of BaCd2SbAs from the Open Quantum Materials Database. Energies are from PBE-GGA.

Geometry as CIF:
```
data_BaCd2SbAs
_chemical_formula_sum 'Ba1 Cd2 Sb1 As1'
_cell_length_a 4.7204
_cell_length_b 4.7204
_cell_length_c 7.9459
_cell_angle_alpha 90.00
_cell_angle_beta 90.00
_cell_angle_gamma 120.00
_space_group_name_H-M_alt 'P 3 m 1'
_space_group_IT_number 156
loop_
_space_group_symop_operation_xyz
'x,y,z'
'-y,x-y,z'
'-x+y,-x,z'
'-y,-x,z'
'-x+y,y,z'
'x,x-y,z'
loop_
_atom_site_label
_atom_site_type_symbol
_atom_site_fract_x
_atom_site_fract_y
_atom_site_fract_z
Ba1 Ba 0.0000 0.0000 0.0000
Cd1 Cd 0.3333 0.6667 0.6539
Cd2 Cd 0.6667 0.3333 0.3934
Sb1 Sb 0.3333 0.6667 0.2770
As1 As 0.6667 0.3333 0.7520
```

- crystal system = trigonal


Model Q:
Here is a relaxed structure of BaCd2SbAs from the Open Quantum Materials Database. Energies are from PBE-GGA.

Geometry as CIF:
```
data_BaCd2SbAs
_chemical_formula_sum 'Ba2 Cd4 Sb2 As2'
_cell_length_a 5.167
_cell_length_b 5.167
_cell_length_c 10.824
_cell_angle_alpha 90.00
_cell_angle_beta 90.00
_cell_angle_gamma 90.00
_space_group_name_H-M_alt 'P 4/n m m'
_space_group_IT_number 129
loop_
_space_group_symop_operation_xyz
'x,y,z'
'-x,-y,-z'
'-y+1/2,x,z'
'y+1/2,-x,-z'
'-x+1/2,-y+1/2,z'
'x+1/2,y+1/2,-z'
'y,-x+1/2,z'
'-y,x+1/2,-z'
'x+1/2,-y,-z'
'-x+1/2,y,z'
'-y,-x,-z'
'y,x,z'
'-x,y+1/2,-z'
'x,-y+1/2,z'
'y+1/2,x+1/2,-z'
'-y+1/2,-x+1/2,z'
loop_
_atom_site_label
_atom_site_type_symbol
_atom_site_fract_x
_atom_site_fract_y
_atom_site_fract_z
Ba1 Ba 0.250 0.250 0.226
Cd1 Cd 0.250 0.250 0.900
Cd2 Cd 0.250 0.750 0.500
Sb1 Sb 0.250 0.250 0.636
As1 As 0.250 0.750 0.000
```

- crystal system = tetragonal


Most stable structure: model P


Model P:
Here is a relaxed structure of BaMgCoAs from the Open Quantum Materials Database. Energies are from PBE-GGA.

Geometry as CIF:
```
data_BaMgCoAs
_chemical_formula_sum 'Ba4 Mg4 Co4 As4'
_cell_length_a 6.908
_cell_length_b 6.908
_cell_length_c 6.908
_cell_angle_alpha 90.00
_cell_angle_beta 90.00
_cell_angle_gamma 90.00
_space_group_name_H-M_alt 'F -4 3 m'
_space_group_IT_number 216
_space_group_name_Hall 'F -4 2 3'
loop_
_atom_site_label
_atom_site_type_symbol
_atom_site_fract_x
_atom_site_fract_y
_atom_site_fract_z
Ba1 Ba 0.000 0.000 0.000
Mg1 Mg 0.250 0.250 0.750
Co1 Co 0.250 0.250 0.250
As1 As 0.000 0.000 0.500
```

- size of the total moment (μB per formula unit) = 0.15
- crystal system = cubic


Model Q:
Here is a relaxed structure of BaMgCoAs from the Open Quantum Materials Database. Energies are from PBE-GGA.

Geometry as CIF:
```
data_BaMgCoAs
_chemical_formula_sum 'Ba4 Mg4 Co4 As4'
_cell_length_a 7.297
_cell_length_b 7.297
_cell_length_c 7.297
_cell_angle_alpha 90.00
_cell_angle_beta 90.00
_cell_angle_gamma 90.00
_space_group_name_H-M_alt 'F -4 3 m'
_space_group_IT_number 216
_space_group_name_Hall 'F -4 2 3'
loop_
_atom_site_label
_atom_site_type_symbol
_atom_site_fract_x
_atom_site_fract_y
_atom_site_fract_z
Ba1 Ba 0.000 0.000 0.000
Mg1 Mg 0.000 0.000 0.500
Co1 Co 0.250 0.250 0.250
As1 As 0.250 0.250 0.750
```

- size of the total moment (μB per formula unit) = 1.82
- crystal system = cubic


Most stable structure: model Q


Model P:
Here is a relaxed structure of BaDyAsO from the Open Quantum Materials Database. Energies are from PBE-GGA.

Geometry as CIF:
```
data_BaDyAsO
_chemical_formula_sum 'Ba2 Dy2 As2 O2'
_cell_length_a 4.068
_cell_length_b 7.101
_cell_length_c 7.501
_cell_angle_alpha 90.00
_cell_angle_beta 90.00
_cell_angle_gamma 90.00
_space_group_name_H-M_alt 'P m c 21'
_space_group_IT_number 26
loop_
_space_group_symop_operation_xyz
'x,y,z'
'-x,-y,z+1/2'
'-x,y,z'
'x,-y,z+1/2'
loop_
_atom_site_label
_atom_site_type_symbol
_atom_site_fract_x
_atom_site_fract_y
_atom_site_fract_z
Ba1 Ba 0.000 0.057 0.000
Dy1 Dy 0.500 0.381 0.351
As1 As 0.500 0.252 0.713
O1 O 0.000 0.270 0.287
```

- size of the total moment (μB per formula unit) = 0.00
- crystal system = orthorhombic


Model Q:
Here is a relaxed structure of BaDyAsO from the Open Quantum Materials Database. Energies are from PBE-GGA.

Geometry as CIF:
```
data_BaDyAsO
_chemical_formula_sum 'Ba2 Dy2 As2 O2'
_cell_length_a 4.739
_cell_length_b 7.606
_cell_length_c 6.696
_cell_angle_alpha 90.00
_cell_angle_beta 90.00
_cell_angle_gamma 90.00
_space_group_name_H-M_alt 'P m c 21'
_space_group_IT_number 26
loop_
_space_group_symop_operation_xyz
'x,y,z'
'-x,-y,z+1/2'
'-x,y,z'
'x,-y,z+1/2'
loop_
_atom_site_label
_atom_site_type_symbol
_atom_site_fract_x
_atom_site_fract_y
_atom_site_fract_z
Ba1 Ba 0.000 0.201 0.000
Dy1 Dy 0.500 0.393 0.598
As1 As 0.000 0.230 0.485
O1 O 0.500 0.368 0.924
```

- size of the total moment (μB per formula unit) = 0.00
- crystal system = orthorhombic


Most stable structure: model Q


Model P:
Here is a relaxed structure of BaDyAsO from the Open Quantum Materials Database. Energies are from PBE-GGA.

Geometry as CIF:
```
data_BaDyAsO
_chemical_formula_sum 'Ba2 Dy2 As2 O2'
_cell_length_a 4.932
_cell_length_b 4.932
_cell_length_c 9.934
_cell_angle_alpha 90.00
_cell_angle_beta 90.00
_cell_angle_gamma 90.00
_space_group_name_H-M_alt 'P 4/n m m'
_space_group_IT_number 129
loop_
_space_group_symop_operation_xyz
'x,y,z'
'-x,-y,-z'
'-y+1/2,x,z'
'y+1/2,-x,-z'
'-x+1/2,-y+1/2,z'
'x+1/2,y+1/2,-z'
'y,-x+1/2,z'
'-y,x+1/2,-z'
'x+1/2,-y,-z'
'-x+1/2,y,z'
'-y,-x,-z'
'y,x,z'
'-x,y+1/2,-z'
'x,-y+1/2,z'
'y+1/2,x+1/2,-z'
'-y+1/2,-x+1/2,z'
loop_
_atom_site_label
_atom_site_type_symbol
_atom_site_fract_x
_atom_site_fract_y
_atom_site_fract_z
Ba1 Ba 0.250 0.250 0.092
Dy1 Dy 0.250 0.750 0.500
As1 As 0.250 0.250 0.635
O1 O 0.250 0.750 0.000
```

- size of the total moment (μB per formula unit) = 0.18
- crystal system = tetragonal


Model Q:
Here is a relaxed structure of BaDyAsO from the Open Quantum Materials Database. Energies are from PBE-GGA.

Geometry as CIF:
```
data_BaDyAsO
_chemical_formula_sum 'Ba2 Dy2 As2 O2'
_cell_length_a 4.472
_cell_length_b 4.472
_cell_length_c 9.547
_cell_angle_alpha 90.00
_cell_angle_beta 90.00
_cell_angle_gamma 90.00
_space_group_name_H-M_alt 'P 4/n m m'
_space_group_IT_number 129
loop_
_space_group_symop_operation_xyz
'x,y,z'
'-x,-y,-z'
'-y+1/2,x,z'
'y+1/2,-x,-z'
'-x+1/2,-y+1/2,z'
'x+1/2,y+1/2,-z'
'y,-x+1/2,z'
'-y,x+1/2,-z'
'x+1/2,-y,-z'
'-x+1/2,y,z'
'-y,-x,-z'
'y,x,z'
'-x,y+1/2,-z'
'x,-y+1/2,z'
'y+1/2,x+1/2,-z'
'-y+1/2,-x+1/2,z'
loop_
_atom_site_label
_atom_site_type_symbol
_atom_site_fract_x
_atom_site_fract_y
_atom_site_fract_z
Ba1 Ba 0.250 0.750 0.000
Dy1 Dy 0.250 0.250 0.423
As1 As 0.250 0.250 0.765
O1 O 0.250 0.750 0.500
```

- size of the total moment (μB per formula unit) = 0.00
- crystal system = tetragonal


Most stable structure: model Q